Here is ZrBe2Cr after structural relaxation from the Alexandria database. Energies are from PBE.

```
ZrBe2Cr
1.0
-0.591 1.577 -3.070
1.891 -2.018 -1.401
-2.819 -3.979 -1.502
Be Zr Cr
2 1 1
Cartesian
0.230 -0.476 -0.289
-0.919 -0.362 -2.006
-1.048 -3.973 -3.837
-0.245 -2.607 -1.293
```

Computed properties:
Mass density, g/cm3: 5.073
Energy of formation from the pure elements, kJ/mol of atoms: 7
Fermi-level density of states, states/eV/f.u.: 2.631
Calculated total energy, eV per atom: -6.332